No. 1
Below is an optimized crystal structure of SiSbTe2I, with properties calculated at the PBE level.

a = 5.382 Å, b = 5.382 Å, c = 5.289 Å
α = 90.00°, β = 90.00°, γ = 90.00°
Positions (direct):
1 Si 0.000 0.000 0.000
2 Sb 0.500 0.500 0.500
3 Te 0.000 0.500 0.000
4 Te 0.500 0.000 0.000
5 I 0.000 0.000 0.500

Calculated values
As for the relative energy among the computed polymorphs: 0.0 meV per atom. The total energy comes out at -3.02 eV per atom. The uncorrected formation energy is 0.45 eV per atom.


No. 2
Below is an optimized crystal structure of Li3PtAu2, with properties calculated at the PBE level.

a = 7.309 Å, b = 7.309 Å, c = 4.035 Å
α = 105.77°, β = 105.77°, γ = 110.73°
Positions (direct):
1 Li 0.000 0.500 0.000
2 Li 0.161 0.322 0.490
3 Li 0.322 0.161 0.990
4 Li 0.500 0.000 0.500
5 Li 0.678 0.839 0.010
6 Li 0.839 0.678 0.510
7 Pt 0.082 0.918 0.250
8 Pt 0.918 0.082 0.750
9 Au 0.247 0.753 0.750
10 Au 0.416 0.584 0.250
11 Au 0.584 0.416 0.750
12 Au 0.753 0.247 0.250

Calculated values
The calculation puts the formation enthalpy at 0 K at -547 meV/atom. The total energy comes out at -3.60 eV per atom.


No. 3
Below is an optimized crystal structure of Rb2DyHgCl6, with properties calculated at the PBE level.

a = 7.669 Å, b = 11.112 Å, c = 8.229 Å
α = 90.00°, β = 90.00°, γ = 90.00°
Positions (direct):
1 Rb 0.250 0.030 0.201
2 Rb 0.250 0.470 0.201
3 Rb 0.750 0.530 0.799
4 Rb 0.750 0.970 0.799
5 Dy 0.250 0.750 0.777
6 Dy 0.750 0.250 0.223
7 Hg 0.250 0.250 0.715
8 Hg 0.750 0.750 0.285
9 Cl 0.004 0.250 0.437
10 Cl 0.010 0.750 0.009
11 Cl 0.250 0.513 0.787
12 Cl 0.250 0.987 0.787
13 Cl 0.490 0.750 0.009
14 Cl 0.496 0.250 0.437
15 Cl 0.504 0.750 0.563
16 Cl 0.510 0.250 0.991
17 Cl 0.750 0.013 0.213
18 Cl 0.750 0.487 0.213
19 Cl 0.990 0.250 0.991
20 Cl 0.996 0.750 0.563

Calculated values
The total energy comes out at -3.51 eV per atom. The uncorrected formation energy is -1.72 eV per atom.


No. 4
Below is an optimized crystal structure of KAcNb2O7, with properties calculated at the PBE level.

a = 3.939 Å, b = 3.939 Å, c = 11.383 Å
α = 90.00°, β = 90.00°, γ = 90.00°
Positions (direct):
1 K 0.000 0.000 0.000
2 Ac 0.000 0.000 0.500
3 Nb 0.500 0.500 0.290
4 Nb 0.500 0.500 0.710
5 O 0.000 0.500 0.328
6 O 0.000 0.500 0.672
7 O 0.500 0.000 0.328
8 O 0.500 0.000 0.672
9 O 0.500 0.500 0.132
10 O 0.500 0.500 0.500
11 O 0.500 0.500 0.868

Calculated values
The total energy comes out at -8.22 eV per atom. The uncorrected formation energy is -2.76 eV per atom.


No. 5
Below is an optimized crystal structure of Ga2FeCo2, with properties calculated at the PBE level.

a = 6.783 Å, b = 6.783 Å, c = 2.767 Å
α = 90.00°, β = 90.00°, γ = 90.00°
Positions (direct):
1 Ga 0.162 0.338 0.000
2 Ga 0.338 0.838 0.000
3 Ga 0.662 0.162 0.000
4 Ga 0.838 0.662 0.000
5 Fe 0.000 0.000 0.500
6 Fe 0.500 0.500 0.500
7 Co 0.137 0.637 0.500
8 Co 0.363 0.137 0.500
9 Co 0.637 0.863 0.500
10 Co 0.863 0.363 0.500

Calculated values
As for the relative energy among the computed polymorphs: 0.0 meV per atom. The calculation puts the formation enthalpy at 0 K at -44 meV/atom. The total energy comes out at -5.79 eV per atom.


No. 6
Below is an optimized crystal structure of Ca5SnAs8, with properties calculated at the PBE level.

a = 8.106 Å, b = 8.106 Å, c = 8.106 Å
α = 101.17°, β = 101.17°, γ = 127.77°
Positions (direct):
1 Ca 0.000 0.000 0.000
2 Ca 0.082 0.522 0.955
3 Ca 0.478 0.432 0.560
4 Ca 0.568 0.128 0.045
5 Ca 0.872 0.918 0.440
6 Sn 0.250 0.750 0.500
7 As 0.017 0.741 0.692
8 As 0.049 0.326 0.308
9 As 0.259 0.951 0.277
10 As 0.282 0.169 0.792
11 As 0.377 0.490 0.208
12 As 0.510 0.718 0.887
13 As 0.674 0.983 0.723
14 As 0.831 0.623 0.113

Calculated values
The calculation puts the formation enthalpy at 0 K at -656 meV/atom. The total energy comes out at -4.31 eV per atom.


No. 7
Below is an optimized crystal structure of SrLa6Pr5, with properties calculated at the PBE level.

a = 8.405 Å, b = 8.405 Å, c = 6.516 Å
α = 97.46°, β = 97.46°, γ = 84.65°
Positions (direct):
1 Sr 0.000 0.000 0.000
2 La 0.082 0.430 0.253
3 La 0.253 0.253 0.737
4 La 0.430 0.082 0.253
5 La 0.570 0.918 0.747
6 La 0.747 0.747 0.263
7 La 0.918 0.570 0.747
8 Pr 0.174 0.826 0.500
9 Pr 0.339 0.661 0.000
10 Pr 0.500 0.500 0.500
11 Pr 0.661 0.339 0.000
12 Pr 0.826 0.174 0.500

Calculated values
The calculation puts the formation enthalpy at 0 K at 41 meV/atom. The total energy comes out at -4.55 eV per atom.


No. 8
Below is an optimized crystal structure of PrHoGaAu, with properties calculated at the PBE level.

a = 5.200 Å, b = 5.200 Å, c = 5.200 Å
α = 60.00°, β = 60.00°, γ = 60.00°
Positions (direct):
1 Pr 0.000 0.000 0.000
2 Ho 0.500 0.500 0.500
3 Ga 0.250 0.250 0.250
4 Au 0.750 0.750 0.750

Calculated values
As for the relative energy among the computed polymorphs: 41.0 meV per atom. The calculation puts the formation enthalpy at 0 K at -637 meV/atom. The total energy comes out at -4.55 eV per atom.


No. 9
Below is an optimized crystal structure of CaNdEr14, with properties calculated at the PBE level.

a = 11.214 Å, b = 7.215 Å, c = 7.215 Å
α = 59.93°, β = 90.00°, γ = 90.00°
Positions (direct):
1 Ca 0.000 0.000 0.000
2 Nd 0.000 0.499 0.499
3 Er 0.000 0.001 0.499
4 Er 0.000 0.499 0.001
5 Er 0.249 0.333 0.333
6 Er 0.255 0.831 0.831
7 Er 0.256 0.337 0.832
8 Er 0.256 0.832 0.337
9 Er 0.500 0.000 0.000
10 Er 0.500 0.000 0.500
11 Er 0.500 0.500 0.000
12 Er 0.500 0.501 0.501
13 Er 0.744 0.337 0.832
14 Er 0.744 0.832 0.337
15 Er 0.745 0.831 0.831
16 Er 0.751 0.333 0.333

Calculated values
The calculation puts the formation enthalpy at 0 K at 24 meV/atom. The total energy comes out at -4.39 eV per atom.


No. 10
Below is an optimized crystal structure of ZnAsRh2, with properties calculated at the PBE level.

a = 5.556 Å, b = 5.556 Å, c = 5.556 Å
α = 104.95°, β = 104.95°, γ = 118.95°
Positions (direct):
1 Zn 0.000 0.000 0.000
2 Zn 0.750 0.250 0.500
3 As 0.250 0.750 0.500
4 As 0.500 0.500 0.000
5 Rh 0.159 0.625 0.034
6 Rh 0.375 0.409 0.534
7 Rh 0.591 0.125 0.966
8 Rh 0.875 0.841 0.466

Calculated values
As for the relative energy among the computed polymorphs: 272.8 meV per atom. The calculation puts the formation enthalpy at 0 K at -69 meV/atom. The total energy comes out at -5.23 eV per atom.


No. 11
Below is an optimized crystal structure of Tb7AsS5, with properties calculated at the PBE level.

a = 6.726 Å, b = 6.726 Å, c = 23.380 Å
α = 90.04°, β = 90.04°, γ = 33.82°
Positions (direct):
1 Tb 0.027 0.027 0.250
2 Tb 0.138 0.138 0.538
3 Tb 0.138 0.138 0.962
4 Tb 0.310 0.310 0.323
5 Tb 0.311 0.311 0.177
6 Tb 0.410 0.410 0.887
7 Tb 0.411 0.411 0.613
8 Tb 0.589 0.589 0.387
9 Tb 0.590 0.590 0.113
10 Tb 0.689 0.689 0.823
11 Tb 0.690 0.690 0.677
12 Tb 0.862 0.862 0.038
13 Tb 0.862 0.862 0.462
14 Tb 0.973 0.973 0.750
15 As 0.308 0.308 0.750
16 As 0.692 0.692 0.250
17 S 0.051 0.051 0.643
18 S 0.051 0.051 0.857
19 S 0.223 0.223 0.071
20 S 0.223 0.223 0.429
21 S 0.500 0.500 0.000
22 S 0.500 0.500 0.500
23 S 0.777 0.777 0.571
24 S 0.777 0.777 0.929
25 S 0.949 0.949 0.143
26 S 0.949 0.949 0.357

Calculated values
The total energy comes out at -6.21 eV per atom. The uncorrected formation energy is -1.77 eV per atom.


No. 12
Below is an optimized crystal structure of CaFe2N, with properties calculated at the PBE level.

a = 5.882 Å, b = 5.882 Å, c = 5.882 Å
α = 119.75°, β = 119.75°, γ = 90.43°
Positions (direct):
1 Ca 0.375 0.625 0.750
2 Ca 0.625 0.375 0.250
3 Fe 0.000 0.000 0.000
4 Fe 0.000 0.000 0.500
5 Fe 0.000 0.500 0.000
6 Fe 0.500 0.000 0.500
7 N 0.125 0.875 0.250
8 N 0.875 0.125 0.750

Calculated values
As for the relative energy among the computed polymorphs: 0.0 meV per atom. The total energy comes out at -6.81 eV per atom. The uncorrected formation energy is 0.00 eV per atom.


No. 13
Below is an optimized crystal structure of Ce2PrFe, with properties calculated at the PBE level.

a = 3.445 Å, b = 3.445 Å, c = 8.716 Å
α = 90.00°, β = 90.00°, γ = 90.00°
Positions (direct):
1 Ce 0.000 0.000 0.180
2 Ce 0.000 0.000 0.820
3 Pr 0.500 0.500 0.500
4 Fe 0.500 0.500 0.000

Calculated values
As for the relative energy among the computed polymorphs: 32.2 meV per atom. The calculation puts the formation enthalpy at 0 K at 117 meV/atom. The total energy comes out at -6.16 eV per atom.


No. 14
Below is an optimized crystal structure of ReTe2C, with properties calculated at the PBE level.

a = 8.461 Å, b = 8.461 Å, c = 8.461 Å
α = 22.11°, β = 22.11°, γ = 22.11°
Positions (direct):
1 Re 0.000 0.000 0.000
2 Te 0.104 0.104 0.104
3 Te 0.896 0.896 0.896
4 C 0.500 0.500 0.500

Calculated values
The total energy comes out at -5.21 eV per atom. The uncorrected formation energy is 1.78 eV per atom.


No. 15
Below is an optimized crystal structure of ZrIn2Os, with properties calculated at the PBE level.

a = 4.166 Å, b = 4.166 Å, c = 4.492 Å
α = 90.00°, β = 90.00°, γ = 90.00°
Positions (direct):
1 Zr 0.000 0.000 0.000
2 In 0.000 0.500 0.500
3 In 0.500 0.000 0.500
4 Os 0.500 0.500 0.000

Calculated values
The calculation puts the formation enthalpy at 0 K at 54 meV/atom. The total energy comes out at -6.26 eV per atom.


No. 16
Below is an optimized crystal structure of Tm3Np3WN8, with properties calculated at the PBE level.

a = 6.736 Å, b = 6.736 Å, c = 6.736 Å
α = 59.50°, β = 59.50°, γ = 59.50°
Positions (direct):
1 Tm 0.000 0.500 0.500
2 Tm 0.500 0.000 0.500
3 Tm 0.500 0.500 0.000
4 Np 0.000 0.000 0.500
5 Np 0.000 0.500 0.000
6 Np 0.500 0.000 0.000
7 W 0.500 0.500 0.500
8 N 0.253 0.253 0.253
9 N 0.269 0.725 0.725
10 N 0.275 0.275 0.731
11 N 0.275 0.731 0.275
12 N 0.725 0.269 0.725
13 N 0.725 0.725 0.269
14 N 0.731 0.275 0.275
15 N 0.747 0.747 0.747

Calculated values
The total energy comes out at -10.00 eV per atom. The uncorrected formation energy is -1.21 eV per atom.


No. 17
Below is an optimized crystal structure of Cs2CaTiBi, with properties calculated at the PBE level.

a = 7.692 Å, b = 7.692 Å, c = 5.769 Å
α = 90.00°, β = 90.00°, γ = 90.00°
Positions (direct):
1 Cs 0.000 0.500 0.000
2 Cs 0.500 0.000 0.000
3 Ca 0.000 0.000 0.000
4 Ti 0.500 0.500 0.500
5 Bi 0.000 0.000 0.500

Calculated values
The calculation puts the formation enthalpy at 0 K at 825 meV/atom. The total energy comes out at -2.27 eV per atom.


No. 18
Below is an optimized crystal structure of GaBi2H2, with properties calculated at the PBE level.

a = 7.117 Å, b = 7.117 Å, c = 7.117 Å
α = 149.82°, β = 149.82°, γ = 43.20°
Positions (direct):
1 Ga 0.000 0.000 0.000
2 Bi 0.365 0.365 0.000
3 Bi 0.635 0.635 0.000
4 H 0.250 0.750 0.500
5 H 0.750 0.250 0.500

Calculated values
As for the relative energy among the computed polymorphs: 138.6 meV per atom. The total energy comes out at -3.06 eV per atom.


No. 19
Below is an optimized crystal structure of SrYGa3O7, with properties calculated at the PBE level.

a = 8.021 Å, b = 8.021 Å, c = 5.307 Å
α = 90.00°, β = 90.00°, γ = 91.62°
Positions (direct):
1 Sr 0.162 0.838 0.000
2 Sr 0.838 0.162 0.000
3 Y 0.342 0.342 0.030
4 Y 0.658 0.658 0.030
5 Ga 0.000 0.500 0.498
6 Ga 0.151 0.151 0.476
7 Ga 0.360 0.640 0.543
8 Ga 0.500 0.000 0.498
9 Ga 0.640 0.360 0.543
10 Ga 0.849 0.849 0.476
11 O 0.000 0.000 0.336
12 O 0.103 0.346 0.290
13 O 0.162 0.162 0.816
14 O 0.162 0.586 0.709
15 O 0.346 0.103 0.290
16 O 0.376 0.624 0.200
17 O 0.414 0.838 0.709
18 O 0.500 0.500 0.729
19 O 0.586 0.162 0.709
20 O 0.624 0.376 0.200
21 O 0.654 0.897 0.290
22 O 0.838 0.414 0.709
23 O 0.838 0.838 0.816
24 O 0.897 0.654 0.290

Calculated values
The total energy comes out at -6.75 eV per atom. The uncorrected formation energy is -2.43 eV per atom.


No. 20
Below is an optimized crystal structure of SmTmAgHg, with properties calculated at the PBE level.

a = 3.676 Å, b = 3.676 Å, c = 7.440 Å
α = 90.00°, β = 90.00°, γ = 90.00°
Positions (direct):
1 Sm 0.000 0.000 0.000
2 Tm 0.000 0.000 0.489
3 Ag 0.500 0.500 0.264
4 Hg 0.500 0.500 0.731

Calculated values
The calculation puts the formation enthalpy at 0 K at -390 meV/atom. The total energy comes out at -3.48 eV per atom.